(1)
Material: CsMoAs3
Method: DFT, PBE-GGA
State: relaxed

Cell lengths 5.051, 5.051, 5.051 Å; angles 90.00, 90.00, 90.00 degrees
Positions (direct):
Cs1 0.000 0.000 0.000
Mo1 0.500 0.500 0.500
As1 0.000 0.500 0.500
As2 0.500 0.000 0.500
As3 0.500 0.500 0.000

Results
Size of the total moment (Bohr magnetons per cell): 0.000
Formation energy from the elements (eV per formula unit): 0.3
Raw total energy (eV per atom): -5.062

---

(2)
Material: Ba6As2HCl3
Method: DFT, PBE-GGA
State: relaxed

Cell lengths 10.266, 10.266, 9.232 Å; angles 103.66, 103.66, 26.40 degrees
Positions (direct):
Ba1 0.001 0.001 0.256
Ba2 0.329 0.329 0.923
Ba3 0.346 0.346 0.411
Ba4 0.654 0.654 0.589
Ba5 0.671 0.671 0.077
Ba6 0.999 0.999 0.744
As1 0.160 0.160 0.828
As2 0.840 0.840 0.172
H1 0.500 0.500 0.500
Cl1 0.173 0.173 0.340
Cl2 0.500 0.500 0.000
Cl3 0.827 0.827 0.660

Results
Size of the total moment (Bohr magnetons per cell): 0.447
Raw total energy (eV per atom): -3.920

---

Calculated values (states/eV per cell) of Fermi-level density of states for the records, taken in order: 4.6, 5.2.